# 1
Compound: Bi3AuO
Source: Alexandria via LeMat-Bulk
Functional: SCAN
Structure: single point on PBEsol structure

Values from the calculation:
**Crystal system**: cubic
**Energy relative to the elements, uncorrected**: 0.154 eV per atom
**D(E_F)**: 3.1 states/eV per cell

Geometry as extended XYZ:
```
5
Lattice="4.860 0.000 0.000 0.000 4.860 0.000 0.000 0.000 4.860" Properties=species:S:1:pos:R:3 pbc="T T T"
Bi 0.000 0.000 2.430
Bi 0.000 2.430 0.000
Bi 2.430 0.000 0.000
Au 2.430 2.430 2.430
O 0.000 0.000 0.000
```

=====

# 2
Compound: LiCu2Pt
Source: Alexandria via LeMat-Bulk
Functional: SCAN
Structure: single point on PBEsol structure

Values from the calculation:
**Energy relative to the lowest polymorph listed for this composition**: 29.1 meV/atom
**Crystal system**: tetragonal
**D(E_F)**: 1.5 states/eV per cell

Geometry as extended XYZ:
```
4
Lattice="-1.852 1.852 3.602 1.852 -1.852 3.602 1.852 1.852 -3.602" Properties=species:S:1:pos:R:3 pbc="T T T"
Li 0.000 0.000 0.000
Cu 1.852 0.000 1.801
Cu 0.000 1.852 1.801
Pt 0.000 0.000 3.602
```

=====

# 3
Compound: NbCl3O
Source: Alexandria via LeMat-Bulk
Functional: SCAN
Structure: single point on PBEsol structure

Values from the calculation:
**Crystal system**: tetragonal
**Energy relative to the elements, uncorrected**: -1.763 eV per atom
**D(E_F)**: 0.0 states/eV per cell

Geometry as extended XYZ:
```
20
Lattice="11.296 0.000 0.000 0.000 11.296 0.000 0.000 0.000 3.835" Properties=species:S:1:pos:R:3 pbc="T T T"
Nb 1.390 1.390 0.000
Nb 4.258 7.037 1.917
Nb 7.037 4.258 1.917
Nb 9.906 9.906 0.000
Cl 1.151 3.659 0.000
Cl 1.154 10.142 0.000
Cl 1.989 6.798 1.917
Cl 3.659 1.151 0.000
Cl 4.494 4.494 1.917
Cl 4.497 9.307 1.917
Cl 6.798 1.989 1.917
Cl 6.801 6.801 1.917
Cl 7.637 10.145 0.000
Cl 9.307 4.497 1.917
Cl 10.142 1.154 0.000
Cl 10.145 7.637 0.000
O 1.237 1.237 1.917
O 4.411 6.884 0.000
O 6.884 4.411 0.000
O 10.059 10.059 1.917
```

=====

# 4
Compound: CaZr2Cu
Source: Alexandria via LeMat-Bulk
Functional: SCAN
Structure: single point on PBEsol structure

Values from the calculation:
**Energy relative to the lowest polymorph listed for this composition**: 203.3 meV/atom
**Crystal system**: cubic
**D(E_F)**: 4.3 states/eV per cell

Geometry as extended XYZ:
```
4
Lattice="0.000 3.440 3.440 3.440 0.000 3.440 3.440 3.440 0.000" Properties=species:S:1:pos:R:3 pbc="T T T"
Ca 0.000 0.000 0.000
Zr 1.720 1.720 1.720
Zr 5.161 5.161 5.161
Cu 3.440 3.440 3.440
```

=====

# 5
Compound: LiBi2O4
Source: Alexandria via LeMat-Bulk
Functional: SCAN
Structure: single point on PBEsol structure

Values from the calculation:
**Energy relative to the lowest polymorph listed for this composition**: 0.0 meV/atom
**Crystal system**: orthorhombic
**Energy relative to the elements, uncorrected**: -1.229 eV per atom
**D(E_F)**: 10.5 states/eV per cell

Geometry as extended XYZ:
```
28
Lattice="5.402 0.000 0.000 0.000 6.057 0.000 0.000 0.000 11.435" Properties=species:S:1:pos:R:3 pbc="T T T"
Li 0.000 0.000 0.000
Li 0.000 3.029 5.717
Li 2.701 0.000 5.717
Li 2.701 3.029 0.000
Bi 0.063 0.620 4.116
Bi 0.063 2.409 9.833
Bi 2.639 3.649 4.116
Bi 2.639 5.437 9.833
Bi 2.764 0.620 1.602
Bi 2.764 2.409 7.319
Bi 5.340 3.649 1.602
Bi 5.340 5.437 7.319
O 0.828 3.353 7.832
O 0.828 5.733 2.115
O 0.957 4.107 11.020
O 0.957 4.979 5.303
O 1.744 1.079 11.020
O 1.744 1.950 5.303
O 1.873 0.324 7.832
O 1.873 2.704 2.115
O 3.529 3.353 9.320
O 3.529 5.733 3.602
O 3.658 4.107 6.132
O 3.658 4.979 0.414
O 4.445 1.079 6.132
O 4.445 1.950 0.414
O 4.574 0.324 9.320
O 4.574 2.704 3.602
```

=====

# 6
Compound: Ti2FeOs
Source: Alexandria via LeMat-Bulk
Functional: SCAN
Structure: single point on PBEsol structure

Values from the calculation:
**Total DFT energy (no corrections)**: -124.69 eV per formula unit
**Crystal system**: cubic
**D(E_F)**: 0.8 states/eV per cell

Geometry as extended XYZ:
```
4
Lattice="0.000 2.999 2.999 2.999 0.000 2.999 2.999 2.999 0.000" Properties=species:S:1:pos:R:3 pbc="T T T"
Ti 1.500 1.500 1.500
Ti 4.499 4.499 4.499
Fe 0.000 0.000 0.000
Os 2.999 2.999 2.999
```